Compound: CsErZnSeS2
Source: OQMD via LeMat-Bulk
Functional: PBE-GGA
Structure: optimized geometry

```
CsErZnSeS2
1.0
2.231 5.738 5.364
-5.715 -4.145 -4.103
-0.442 -7.241 7.931
Cs Er S Se Zn
2 2 4 2 2
Cartesian
-3.852 -3.500 0.231
-0.074 -2.147 8.961
-1.742 0.797 0.630
-1.963 -2.824 4.596
1.330 4.204 4.814
1.164 1.480 7.797
-5.090 -7.127 1.394
-5.257 -9.851 4.378
-1.375 -0.419 3.182
-2.551 -5.228 6.010
1.814 3.547 6.981
-5.740 -9.194 2.211
```

Computed properties:
space group = Cmcm, No. 63
spin magnetization = 0.02 μB per cell
E = -4.5565 eV per atom



Compound: UBr4
Source: OQMD via LeMat-Bulk
Functional: PBE-GGA
Structure: optimized geometry

```
UBr4
1.0
0.873 -3.578 6.505
-0.059 7.448 0.636
-6.621 -2.050 -2.801
Br U
8 2
Cartesian
-0.824 0.178 2.988
-0.708 3.649 4.445
-1.906 5.423 1.286
-2.022 1.953 -0.170
-4.543 3.990 -0.987
-4.075 3.299 2.685
-5.275 0.252 -1.211
-4.807 -0.439 2.461
0.000 0.000 0.000
-2.671 -1.846 3.638
```

Computed properties:
space group = I4_1/amd, No. 141
spin magnetization = 4.00 μB per cell
E = -4.8470 eV per atom



Compound: TbCoRe
Source: OQMD via LeMat-Bulk
Functional: PBE-GGA
Structure: optimized geometry

```
TbCoRe
1.0
-0.963 -1.206 4.305
-3.180 -0.425 -3.259
2.823 -8.248 -1.680
Co Re Tb
3 3 3
Cartesian
0.671 -1.960 -0.399
-1.271 -4.102 -1.434
2.719 -7.944 -1.618
-0.713 -3.835 1.195
0.107 -6.229 0.707
0.897 -8.537 0.237
-2.092 -1.704 -0.946
1.520 -4.440 -0.904
-0.273 -7.017 -2.028
```

Computed properties:
ΔE_f = 303 meV per atom
space group = P3m1, No. 156
spin magnetization = 4.16 μB per cell
E = -7.7494 eV per atom



Compound: ScGaCoAu
Source: OQMD via LeMat-Bulk
Functional: PBE-GGA
Structure: optimized geometry

```
ScGaCoAu
1.0
0.000 3.187 3.187
3.187 0.000 3.187
3.187 3.187 0.000
Au Co Ga Sc
1 1 1 1
Cartesian
3.187 3.187 3.187
4.781 4.781 4.781
0.000 0.000 0.000
1.594 1.594 1.594
```

Computed properties:
space group = F-43m, No. 216
spin magnetization = 0.10 μB per cell
E = -5.2233 eV per atom
excess energy over the best structure of this formula in the dataset = 0.102 eV per atom